Entry 1:
# TbDy2C3

A geometry-optimized TbDy2C3 structure (PBE, the Alexandria database).

a b c (Å): 5.706 6.955 6.955
angles (deg): 66.37 65.78 65.78
Fractional positions:
Tb 0.750 0.726 0.774
Tb 0.250 0.274 0.226
Dy 0.073 0.095 0.759
Dy 0.573 0.259 0.595
Dy 0.427 0.741 0.405
Dy 0.927 0.905 0.241
C 0.380 0.000 0.000
C 0.620 0.000 0.000
C 0.120 0.500 0.500
C 0.000 0.000 0.500
C 0.500 0.000 0.500
C 0.880 0.500 0.500

Output
total magnetization	0.000	μB per cell
energy of formation from the pure elements	-0.07	eV/atom

***

Entry 2:
# TbDy2C

A geometry-optimized TbDy2C structure (PBE, the Alexandria database).

a b c (Å): 3.572 3.572 9.392
angles (deg): 79.04 79.04 60.00
Fractional positions:
C 0.000 0.000 0.000
Tb 0.500 0.500 0.500
Dy 0.284 0.284 0.148
Dy 0.716 0.716 0.852

Output
total magnetization	0.001	μB per cell
energy of formation from the pure elements	-0.15	eV/atom

***

Entry 3:
# TbDy2C2

A geometry-optimized TbDy2C2 structure (PBE, the Alexandria database).

a b c (Å): 5.096 6.292 7.351
angles (deg): 107.66 90.00 113.89
Fractional positions:
Tb 0.344 0.687 0.904
Tb 0.656 0.313 0.096
Dy 0.662 0.324 0.567
Dy 0.338 0.676 0.433
Dy 0.007 0.013 0.728
Dy 0.993 0.987 0.272
C 0.166 0.332 0.583
C 0.834 0.668 0.417
C 0.498 0.996 0.236
C 0.502 0.004 0.764

Output
total magnetization	1.376	μB per cell
energy of formation from the pure elements	-0.20	eV/atom

***

Entry 4:
# TbDyTeC

A geometry-optimized TbDyTeC structure (PBE, the Alexandria database).

a b c (Å): 3.823 3.823 7.457
angles (deg): 90.00 104.85 120.00
Fractional positions:
Tb 0.512 0.154 0.681
Dy 0.093 0.945 0.053
Te 0.968 0.382 0.365
C 0.305 0.551 0.871

Output
DFT total energy	-24.905	eV per cell
total magnetization	0.000	μB per cell

***

Entry 5:
# DyTc2C2

A geometry-optimized DyTc2C2 structure (PBE, the Alexandria database).

a b c (Å): 5.533 5.533 5.552
angles (deg): 109.83 109.83 103.72
Fractional positions:
Dy 0.873 0.627 0.750
Dy 0.127 0.373 0.250
Tc 0.230 0.965 0.467
Tc 0.465 0.730 0.967
Tc 0.770 0.035 0.533
Tc 0.535 0.270 0.033
C 0.185 0.315 0.750
C 0.425 0.075 0.250
C 0.575 0.925 0.750
C 0.815 0.685 0.250

Output
total magnetization	0.000	μB per cell
energy of formation from the pure elements	-0.16	eV/atom

***

Entry 6:
# DyTc2C

A geometry-optimized DyTc2C structure (PBE, the Alexandria database).

a b c (Å): 3.157 5.276 7.417
angles (deg): 90.00 90.00 107.44
Fractional positions:
Dy 0.944 0.889 0.250
Dy 0.056 0.111 0.750
Tc 0.340 0.680 0.565
Tc 0.660 0.320 0.435
Tc 0.340 0.680 0.935
Tc 0.660 0.320 0.065
C 0.779 0.559 0.750
C 0.221 0.441 0.250

Output
total magnetization	0.000	μB per cell
energy of formation from the pure elements	0.06	eV/atom

***

Entry 7:
# DyTcC

A geometry-optimized DyTcC structure (PBE, the Alexandria database).

a b c (Å): 3.867 6.929 8.638
angles (deg): 92.40 102.94 90.00
Fractional positions:
Dy 0.898 0.608 0.797
Dy 0.600 0.830 0.199
Dy 0.400 0.170 0.801
Dy 0.102 0.392 0.203
Tc 0.758 0.353 0.517
Tc 0.208 0.075 0.416
Tc 0.242 0.647 0.483
Tc 0.792 0.925 0.584
C 0.677 0.556 0.355
C 0.313 0.891 0.626
C 0.323 0.444 0.645
C 0.687 0.109 0.374

Output
energy above the lowest structure with this stoichiometry	143	meV per atom
total magnetization	0.000	μB per cell
energy of formation from the pure elements	-0.05	eV/atom

***

Entry 8:
# DyTc3C

A geometry-optimized DyTc3C structure (PBE, the Alexandria database).

a b c (Å): 4.221 4.221 4.221
angles (deg): 90.00 90.00 90.00
Fractional positions:
C 0.000 0.000 0.000
Tc 0.000 0.500 0.000
Tc 0.000 0.000 0.500
Tc 0.500 0.000 0.000
Dy 0.500 0.500 0.500

Output
total magnetization	2.023	μB per cell
energy of formation from the pure elements	0.04	eV/atom

***

Entry 9:
# Dy3TcC3

A geometry-optimized Dy3TcC3 structure (PBE, the Alexandria database).

a b c (Å): 5.052 7.483 7.483
angles (deg): 120.00 90.00 90.00
Fractional positions:
Dy 0.750 0.723 0.635
Dy 0.750 0.365 0.088
Dy 0.750 0.912 0.277
Dy 0.250 0.277 0.365
Dy 0.250 0.635 0.912
Dy 0.250 0.088 0.723
Tc 0.250 0.667 0.333
Tc 0.750 0.333 0.667
C 0.250 0.698 0.604
C 0.250 0.396 0.093
C 0.250 0.907 0.302
C 0.750 0.302 0.396
C 0.750 0.604 0.907
C 0.750 0.093 0.698

Output
energy above the lowest structure with this stoichiometry	95	meV per atom
total magnetization	0.076	μB per cell
energy of formation from the pure elements	-0.26	eV/atom

***

Entry 10:
# Dy2TcC2

A geometry-optimized Dy2TcC2 structure (PBE, the Alexandria database).

a b c (Å): 5.109 6.567 9.885
angles (deg): 90.00 90.00 90.00
Fractional positions:
Dy 0.750 0.678 0.557
Dy 0.250 0.822 0.057
Dy 0.250 0.322 0.443
Dy 0.750 0.178 0.943
Dy 0.750 0.032 0.284
Dy 0.250 0.468 0.784
Dy 0.250 0.968 0.716
Dy 0.750 0.532 0.216
Tc 0.750 0.219 0.635
Tc 0.250 0.281 0.135
Tc 0.250 0.781 0.365
Tc 0.750 0.719 0.865
C 0.750 0.452 0.759
C 0.250 0.048 0.259
C 0.250 0.548 0.241
C 0.750 0.952 0.741
C 0.750 0.821 0.048
C 0.250 0.679 0.548
C 0.250 0.179 0.952
C 0.750 0.321 0.452

Output
energy above the lowest structure with this stoichiometry	0	meV per atom
total magnetization	0.000	μB per cell
energy of formation from the pure elements	-0.39	eV/atom

***

Entry 11:
# Dy3TcC3

A geometry-optimized Dy3TcC3 structure (PBE, the Alexandria database).

a b c (Å): 5.138 6.796 6.798
angles (deg): 100.43 90.00 90.00
Fractional positions:
Dy 0.750 0.595 0.833
Dy 0.750 0.108 0.892
Dy 0.750 0.168 0.405
Dy 0.250 0.405 0.167
Dy 0.250 0.892 0.108
Dy 0.250 0.832 0.595
Tc 0.250 0.309 0.691
Tc 0.750 0.691 0.309
C 0.250 0.584 0.829
C 0.250 0.123 0.877
C 0.250 0.171 0.416
C 0.750 0.416 0.171
C 0.750 0.877 0.123
C 0.750 0.829 0.584

Output
energy above the lowest structure with this stoichiometry	0	meV per atom
total magnetization	0.002	μB per cell
energy of formation from the pure elements	-0.35	eV/atom

***

Entry 12:
# Dy3Tc2C4

A geometry-optimized Dy3Tc2C4 structure (PBE, the Alexandria database).

a b c (Å): 3.310 5.650 7.314
angles (deg): 96.78 90.00 107.03
Fractional positions:
Dy 0.380 0.760 0.591
Dy 0.000 0.000 0.000
Dy 0.620 0.240 0.409
Tc 0.292 0.584 0.168
Tc 0.708 0.416 0.832
C 0.658 0.315 0.089
C 0.147 0.293 0.661
C 0.853 0.707 0.339
C 0.342 0.685 0.911

Output
total magnetization	0.000	μB per cell
energy of formation from the pure elements	-0.06	eV/atom